1.
Entry from Alexandria via LeMat-Bulk: a geometry-optimized Np3S4 structure (GGA-PBE).

Summary:
The polymorph energy (0 for the lowest one) comes out at 0 meV per atom.

Cell: 8.3100 8.3100 8.3100 Å, 90.00 90.00 90.00°
With the nearest neighbours (Å) after each atom.
Space group I-43d (No. 220)
Inequivalent atoms, fractional coordinates:
Np  0.0000  0.2500  0.8750 x12  8 S 2.80-2.96
S  0.0744  0.4256  0.5744 x16  6 Np 2.80-2.96

2.
Entry from Alexandria via LeMat-Bulk: a geometry-optimized Np3S5 structure (GGA-PBE).

Summary:
The polymorph energy (0 for the lowest one) comes out at 33 meV per atom.

Cell: 7.8059 7.8059 6.2573 Å, 90.00 90.00 120.00°
With the nearest neighbours (Å) after each atom.
Space group P6_3/mcm (No. 193)
Inequivalent atoms, fractional coordinates:
Np  0.0000  0.3894  0.2500 x6  7 S 2.67-2.88
S  0.0000  0.2538  0.7500 x6  3 Np 2.67-2.79
S  0.3333  0.6667  0.0000 x4  6 Np 2.88, 2 S 3.13

3.
Entry from Alexandria via LeMat-Bulk: a geometry-optimized Np3S5 structure (GGA-PBE).

Summary:
The polymorph energy (0 for the lowest one) comes out at 0 meV per atom.

Cell: 6.4365 14.6181 7.3940 Å, 90.00 104.35 90.00°
With the nearest neighbours (Å) after each atom.
Space group C2/m (No. 12)
Inequivalent atoms, fractional coordinates:
Np  0.0000  0.1543  0.0000 x4  8 S 2.75-2.90
Np  0.0000  0.2447  0.5000 x4  8 S 2.77-2.89
Np  0.0687  0.5000  0.2952 x4  8 S 2.66-2.97
S  0.1743  0.3113  0.1999 x8  5 Np 2.77-2.97
S  0.2300  0.1068  0.3780 x8  5 Np 2.78-2.90
S  0.2385  0.0000  0.9843 x4  4 Np 2.66-2.75

4.
Entry from Alexandria via LeMat-Bulk: a geometry-optimized Np4S5 structure (GGA-PBE).

Summary:
The polymorph energy (0 for the lowest one) comes out at 514 meV per atom.

Cell: 9.7015 9.7015 3.5649 Å, 90.00 90.00 90.00°
With the nearest neighbours (Å) after each atom.
Space group I4/mmm (No. 139)
Inequivalent atoms, fractional coordinates:
Np  0.1864  0.1864  0.0000 x8  2 Np 2.49
S  0.0000  0.0000  0.5000 x2  4 S 2.99, 8 Np 3.12
S  0.0000  0.3085  0.5000 x8  6 Np 2.80-3.04, 1 S 2.99

5.
Entry from Alexandria via LeMat-Bulk: a geometry-optimized Np4S5 structure (GGA-PBE).

Summary:
The polymorph energy (0 for the lowest one) comes out at 0 meV per atom.

Cell: 11.1038 11.1038 3.7515 Å, 90.00 90.00 90.00°
With the nearest neighbours (Å) after each atom.
Space group I4/m (No. 87)
Inequivalent atoms, fractional coordinates:
Np  0.0918  0.2195  0.0000 x8  6 S 2.64-2.85
S  0.0000  0.0000  0.0000 x2  4 Np 2.64
S  0.0974  0.7577  0.5000 x8  5 Np 2.74-2.85

6.
Entry from Alexandria via LeMat-Bulk: a geometry-optimized Np5S8 structure (GGA-PBE).

Cell: 12.7379 8.0868 9.3328 Å, 90.00 131.26 90.00°
With the nearest neighbours (Å) after each atom.
Space group C2/m (No. 12)
Inequivalent atoms, fractional coordinates:
Np  0.0000  0.0000  0.0000 x2  6 S 2.77-2.80
Np  0.0000  0.2561  0.5000 x4  6 S 2.69-2.81
Np  0.2174  0.5000  0.9971 x4  6 S 2.69-2.79
S  0.0039  0.0000  0.3040 x4  4 Np 2.78-2.80
S  0.0416  0.5000  0.3463 x4  3 Np 2.69
S  0.2183  0.2222  0.1634 x8  4 Np 2.73-2.81

7.
Entry from Alexandria via LeMat-Bulk: a geometry-optimized Np6SbS12 structure (GGA-PBE).

Cell: 12.0169 12.0169 10.9996 Å, 90.00 90.00 120.00°
With the nearest neighbours (Å) after each atom.
Space group R-3 (No. 148, hexagonal axes)
Inequivalent atoms, fractional coordinates:
Np  0.0479  0.7820  0.1467 x18  7 S 2.72-2.94
Sb  0.0000  0.0000  0.5000 x3  6 S 2.64
S  0.0348  0.8166  0.8955 x18  4 Np 2.72-2.82
S  0.0516  0.8360  0.3897 x18  1 Sb 2.64, 3 Np 2.72-2.94

8.
Entry from Alexandria via LeMat-Bulk: a geometry-optimized Np2Sb2S7 structure (GGA-PBE).

Cell: 3.9064 15.1173 8.5415 Å, 90.00 90.00 90.00°
With the nearest neighbours (Å) after each atom.
Space group Imm2 (No. 44)
Inequivalent atoms, fractional coordinates:
Np  0.0000  0.0000  0.0000 x2  8 S 2.69-2.88
Np  0.0000  0.5000  0.0438 x2  7 S 2.72-2.79
Sb  0.0000  0.2326  0.7228 x4  3 S 2.55-2.59
S  0.0000  0.1223  0.4962 x4  1 Sb 2.55, 2 Np 2.72
S  0.0000  0.1837  0.0896 x4  2 Sb 2.59, 1 Np 2.88
S  0.0000  0.4039  0.3202 x4  3 Np 2.77-2.88, 1 S 2.91, 2 Sb 2.96
S  0.0000  0.5000  0.7168 x2  3 Np 2.69-2.79

Values for formation energy (no corrections), eV per atom, ordered as above
-1.420, -1.341, -1.374, -0.666, -1.180, -1.255, -1.201, -0.734
Values for spin magnetization, μB/atom, ordered as above
1.86, 1.38, 1.38, 0.63, 1.99, 0.31, 1.11, 0.54
Values for DOS(E_F), states/eV/f.u., ordered as above
27.479, 18.676, 18.599, 15.025, 31.341, 39.733, 55.356, 20.051